DFT (PBE) results for ZrPt2Pb after structural relaxation.

abc: 5.945 7.159 3.715
angles: 90.00 90.00 90.00
Fractional positions:
Zr: 0.000 0.000 0.000
Zr: 0.500 0.500 0.000
Pt: 0.250 0.250 0.500
Pt: 0.250 0.750 0.500
Pt: 0.750 0.250 0.500
Pt: 0.750 0.750 0.500
Pb: 0.000 0.500 0.000
Pb: 0.500 0.000 0.000

Properties
Size of the total moment in μB/f.u.: 0.00
ΔH_f (0 K) in eV/f.u.: -1.80
Crystal system: orthorhombic